1.
Below is a relaxed structure of B2C, with properties calculated at the PBE level.

abc: 4.464 2.657 7.236
angles: 90.00 93.82 90.00
Space group Pm (No. 6)
One atom of each set of equivalent atoms:
B  0.000  0.000  0.000 x1
B  0.038  0.500  0.157 x1
B  0.244  0.000  0.473 x1
B  0.408  0.500  0.087 x1
B  0.476  0.500  0.725 x1
B  0.607  0.000  0.355 x1
B  0.668  0.000  0.122 x1
B  0.809  0.500  0.485 x1
C  0.136  0.500  0.369 x1
C  0.298  0.000  0.700 x1
C  0.822  0.500  0.706 x1
C  0.984  0.000  0.780 x1

excess energy over the best structure of this formula in the dataset	328	meV per atom
energy of formation from the pure elements	513.1	meV/atom

---

2.
Below is a relaxed structure of LaCe2Zr, with properties calculated at the PBE level.

abc: 3.3748 3.3748 34.0940
angles: 90.00 90.00 120.00
Space group R3m (No. 160, hexagonal axes)
One atom of each set of equivalent atoms:
La  0.0000  0.0000  0.0000 x3
Ce  0.0000  0.0000  0.2438 x3
Ce  0.0000  0.0000  0.4198 x3
Zr  0.0000  0.0000  0.8313 x3

excess energy over the best structure of this formula in the dataset	21	meV per atom
energy of formation from the pure elements	137.4	meV/atom

---

3.
Below is a relaxed structure of Li2GeRh2, with properties calculated at the PBE level.

abc: 6.358 6.358 3.044
angles: 90.00 90.00 90.00
Space group P4/mbm (No. 127)
One atom of each set of equivalent atoms:
Li  0.115  0.385  0.000 x4
Ge  0.000  0.000  0.000 x2
Rh  0.189  0.689  0.500 x4

excess energy over the best structure of this formula in the dataset	211	meV per atom
energy of formation from the pure elements	-212.0	meV/atom

---

4.
Below is a relaxed structure of La2Dy4H, with properties calculated at the PBE level.

abc: 4.913 4.913 17.503
angles: 90.00 90.00 90.00
Space group I4/mmm (No. 139)
One atom of each set of equivalent atoms:
La  0.000  0.000  0.150 x4
Dy  0.000  0.000  0.355 x4
Dy  0.000  0.500  0.000 x4
H  0.000  0.000  0.500 x2

energy	-4.45	eV/atom

---

5.
Below is a relaxed structure of CeSiNiIr, with properties calculated at the PBE level.

abc: 4.283 3.751 9.401
angles: 90.00 90.00 90.00
Space group Amm2 (No. 38)
One atom of each set of equivalent atoms:
Ce  0.000  0.000  0.000 x2
Si  0.500  0.000  0.622 x2
Ni  0.500  0.000  0.268 x2
Ir  0.000  0.000  0.732 x2

raw formation energy	-0.429	eV per atom

---

6.
Below is a relaxed structure of ReRu2Pt, with properties calculated at the PBE level.

abc: 3.910 3.910 7.593
angles: 90.00 90.00 90.00
Space group I4/mmm (No. 139)
One atom of each set of equivalent atoms:
Re  0.000  0.000  0.000 x2
Ru  0.000  0.500  0.250 x4
Pt  0.000  0.000  0.500 x2

excess energy over the best structure of this formula in the dataset	10	meV per atom
energy of formation from the pure elements	-10.6	meV/atom

---

7.
Below is a relaxed structure of Y4HoEr5, with properties calculated at the PBE level.

abc: 10.131 10.131 6.279
angles: 90.00 90.00 90.00
Space group I4 (No. 79)
One atom of each set of equivalent atoms:
Y  0.042  0.339  0.000 x8
Ho  0.000  0.000  0.229 x2
Er  0.000  0.000  0.771 x2
Er  0.147  0.226  0.500 x8

excess energy over the best structure of this formula in the dataset	245	meV per atom
energy of formation from the pure elements	303.1	meV/atom

---

8.
Below is a relaxed structure of RbNd2ReO8, with properties calculated at the PBE level.

abc: 4.493 5.289 7.674
angles: 89.58 74.29 88.03
Space group P-1 (No. 2)
One atom of each set of equivalent atoms:
Rb  0.000  0.000  0.000 x1
Nd  0.388  0.510  0.304 x2
Re  0.000  0.000  0.500 x1
O  0.165  0.287  0.595 x2
O  0.214  0.762  0.609 x2
O  0.328  0.500  0.007 x2
O  0.329  0.992  0.287 x2

raw formation energy	-2.197	eV per atom